! CaSc2Au3 | the Alexandria database | PBE | optimized geometry; values from VASP
! Total magnetization, μB/f.u.: 0.000
! Formation energy, eV/atom: -0.7990
! Calculated volume, Å³/atom: 21.10
! Space group: P4/mmm
! VASP energy, eV/atom: -4.8818
&SYSTEM
  ibrav = 0, nat = 6, ntyp = 3
/
ATOMIC_SPECIES
Ca 40.08 Ca.upf
Sc 44.96 Sc.upf
Au 196.97 Au.upf
CELL_PARAMETERS angstrom
3.4613 0.0000 0.0000
0.0000 3.4613 0.0000
0.0000 0.0000 10.5660
ATOMIC_POSITIONS crystal
Ca 0.5000 0.5000 0.5000
Sc 0.5000 0.5000 0.8392
Sc 0.5000 0.5000 0.1608
Au 0.0000 0.0000 0.0000
Au 0.0000 0.0000 0.6963
Au 0.0000 0.0000 0.3037